No. 1
Compound: Cu2S
Source: the Open Quantum Materials Database
Functional: GGA-PBE
Structure: optimized geometry

Results
The total energy comes out at -3.911 eV/atom. Its space group is P2_12_12_1.

abc: 3.9846 6.1306 6.6854
angles: 90.00 90.00 90.00
Sites, in units of the cell vectors:
Cu (0.1660, 0.6173, 0.0522)
Cu (0.5175, 0.2703, 0.1283)
Cu (0.4825, 0.7703, 0.3717)
Cu (0.8340, 0.1173, 0.4478)
Cu (0.3340, 0.3827, 0.5522)
Cu (0.9825, 0.7297, 0.6283)
Cu (0.0175, 0.2297, 0.8717)
Cu (0.6660, 0.8827, 0.9478)
S (0.1202, 0.9941, 0.1521)
S (0.8798, 0.4941, 0.3479)
S (0.3798, 0.0059, 0.6521)
S (0.6202, 0.5059, 0.8479)

No. 2
Compound: CuS
Source: the Open Quantum Materials Database
Functional: GGA-PBE
Structure: optimized geometry

Results
The total energy comes out at -3.994 eV/atom. Its space group is Fm-3m.

abc: 3.4479 3.4479 3.4479
angles: 60.00 60.00 60.00
Sites, in units of the cell vectors:
Cu (0.0000, 0.0000, 0.0000)
S (0.5000, 0.5000, 0.5000)